Record 1
Below is a relaxed structure of La8GeTe3Se4, with properties calculated at the GGA-PBE level.

Cell and atoms, written as POSCAR:
```
La8GeTe3Se4
1.0
8.884 0.000 0.000
0.000 8.867 -0.017
-4.442 -4.437 6.285
La Ge Te Se
8 1 3 4
Direct
0.245 0.760 0.015
0.245 0.760 0.491
0.242 0.225 0.483
0.769 0.760 0.015
0.231 0.240 0.985
0.758 0.775 0.517
0.755 0.240 0.509
0.755 0.240 0.985
0.000 0.500 0.000
0.500 0.500 0.000
0.500 0.500 0.500
0.000 0.500 0.500
0.500 0.000 0.000
0.500 0.000 0.500
0.000 0.000 0.000
0.000 0.000 0.500
```

Output
Size of the total moment: 0.00 Bohr magnetons per cell
E_form (uncorrected): -1.73 eV per atom
DOS(E_F): 9.98 states/eV/f.u.

***

Record 2
Below is a relaxed structure of KLa2PbO5, with properties calculated at the GGA-PBE level.

Cell and atoms, written as POSCAR:
```
KLa2PbO5
1.0
-1.948 -4.843 4.745
-4.459 -2.804 -4.692
7.855 -0.089 -2.109
K La Pb O
2 4 2 10
Direct
0.250 0.250 0.500
0.750 0.750 0.500
0.182 0.318 0.000
0.682 0.182 0.000
0.318 0.818 0.000
0.818 0.682 0.000
0.250 0.750 0.500
0.750 0.250 0.500
0.973 0.473 0.241
0.732 0.232 0.759
0.027 0.527 0.759
0.232 0.027 0.759
0.527 0.732 0.759
0.768 0.973 0.241
0.473 0.268 0.241
0.268 0.768 0.241
0.500 0.500 0.000
0.000 0.000 0.000
```

Output
Size of the total moment: 1.94 Bohr magnetons per cell
E_form (uncorrected): -2.27 eV per atom
DOS(E_F): 1.80 states/eV/f.u.

***

Record 3
Below is a relaxed structure of CaH3, with properties calculated at the GGA-PBE level.

Cell and atoms, written as POSCAR:
```
CaH3
1.0
-2.789 -1.198 -1.495
-0.128 -2.430 2.360
-0.733 4.003 2.055
Ca H
1 3
Direct
0.500 0.000 0.000
0.095 0.086 0.496
0.905 0.914 0.504
0.000 0.500 0.000
```

Output
Raw total energy: -12.27 eV/cell
Size of the total moment: 0.00 Bohr magnetons per cell
DOS(E_F): 0.76 states/eV/f.u.

***

Record 4
Below is a relaxed structure of Ca2Pd2Au, with properties calculated at the GGA-PBE level.

Cell and atoms, written as POSCAR:
```
Ca2Pd2Au
1.0
5.670 0.178 0.257
2.721 4.978 0.257
1.598 0.982 7.959
Ca Pd Au
4 4 2
Direct
0.493 0.205 0.151
0.795 0.507 0.349
0.507 0.795 0.849
0.205 0.493 0.651
0.738 0.001 0.497
0.999 0.262 0.003
0.262 0.999 0.503
0.001 0.738 0.997
0.202 0.798 0.250
0.798 0.202 0.750
```

Output
Energy above the lowest structure with this stoichiometry: 0.0 kJ/mol of formula units
Size of the total moment: 0.00 Bohr magnetons per cell
DOS(E_F): 1.43 states/eV/f.u.
Calculated formation energy: -734.5 meV per atom